[1]
A relaxed Te7Mo crystal, computed with PBE.

Values from the calculation:
- crystal system = cubic

Structure (CIF):
```
data_Te7Mo
_chemical_formula_sum 'Te28 Mo4'
_cell_length_a 9.5360
_cell_length_b 9.5360
_cell_length_c 9.5360
_cell_angle_alpha 90.00
_cell_angle_beta 90.00
_cell_angle_gamma 90.00
_symmetry_space_group_name_H-M 'F m -3 m'
_symmetry_Int_Tables_number 225
_symmetry_space_group_name_Hall '-F 4 2 3'
loop_
_atom_site_label
_atom_site_type_symbol
_atom_site_fract_x
_atom_site_fract_y
_atom_site_fract_z
Te1 Te 0.0000 0.0000 0.0000
Te2 Te 0.0000 0.2500 0.2500
Mo1 Mo 0.0000 0.0000 0.5000
```


[2]
A relaxed La2In8Ir crystal, computed with PBE.

Values from the calculation:
- crystal system = tetragonal

Structure (CIF):
```
data_La2In8Ir
_chemical_formula_sum 'La2 In8 Ir1'
_cell_length_a 4.7558
_cell_length_b 4.7558
_cell_length_c 12.4648
_cell_angle_alpha 90.00
_cell_angle_beta 90.00
_cell_angle_gamma 90.00
_symmetry_space_group_name_H-M 'P 4/m m m'
_symmetry_Int_Tables_number 123
_symmetry_space_group_name_Hall '-P 4 2'
loop_
_atom_site_label
_atom_site_type_symbol
_atom_site_fract_x
_atom_site_fract_y
_atom_site_fract_z
La1 La 0.0000 0.0000 0.1953
In1 In 0.0000 0.5000 0.0000
In2 In 0.0000 0.5000 0.3815
In3 In 0.5000 0.5000 0.1932
Ir1 Ir 0.0000 0.0000 0.5000
```


no.,E_tot (eV/atom),magnetization (μB/cell)
1,-3.440,15.08
2,-4.128,0.00